Computed, not measured: a geometry-optimized PrDy4Tm15 structure at the PBE-GGA level of DFT.

```
PrDy4Tm15
1.0
-2.300 -4.266 1.062
2.007 -2.085 -4.031
19.553 -7.192 13.456
Dy Tm Pr
4 15 1
Direct
0.000 0.000 0.400
0.000 0.000 0.600
0.000 0.000 0.201
0.000 0.000 0.799
0.000 0.500 0.301
0.500 0.000 0.699
0.500 0.000 0.898
0.000 0.500 0.102
0.500 0.500 0.400
0.500 0.500 0.600
0.500 0.000 0.500
0.000 0.500 0.898
0.500 0.500 0.202
0.500 0.000 0.301
0.500 0.500 0.000
0.000 0.500 0.500
0.500 0.000 0.102
0.000 0.500 0.699
0.500 0.500 0.798
0.000 0.000 0.000
```

Properties
- ΔH_f (0 K): 0.026 eV/atom

Computed, not measured: a geometry-optimized CaPr12Cd6 structure at the PBE-GGA level of DFT.

```
CaPr12Cd6
1.0
8.327 0.758 0.908
-0.513 8.346 0.908
-0.513 -0.598 8.374
Pr Ca Cd
12 1 6
Direct
0.159 0.390 0.040
0.431 0.808 0.531
0.808 0.531 0.431
0.841 0.610 0.960
0.960 0.841 0.610
0.469 0.569 0.192
0.390 0.040 0.159
0.531 0.431 0.808
0.569 0.192 0.469
0.192 0.469 0.569
0.610 0.960 0.841
0.040 0.159 0.390
0.000 0.000 0.000
0.260 0.113 0.738
0.262 0.740 0.887
0.113 0.738 0.260
0.738 0.260 0.113
0.740 0.887 0.262
0.887 0.262 0.740
```

Properties
- ΔH_f (0 K): -0.101 eV/atom

Computed, not measured: a geometry-optimized Y2Be4Ni5 structure at the PBE-GGA level of DFT.

```
Y2Be4Ni5
1.0
4.614 0.000 2.202
2.307 4.336 1.101
-0.493 0.000 6.966
Be Ni Y
4 5 2
Direct
0.787 0.682 0.743
0.531 0.682 0.257
0.469 0.318 0.743
0.213 0.318 0.257
0.500 0.000 0.000
0.250 0.500 0.500
0.750 0.500 0.500
0.500 0.500 0.000
0.000 0.500 0.000
0.865 0.000 0.269
0.135 0.000 0.731
```

Properties
- ΔH_f (0 K): -0.395 eV/atom

Computed, not measured: a geometry-optimized La6NdTm structure at the PBE-GGA level of DFT.

```
La6NdTm
1.0
-1.873 1.425 4.652
-4.671 -1.922 -1.292
2.728 -9.282 3.941
Tm La Nd
1 6 1
Direct
0.000 0.000 0.500
0.000 0.500 0.748
0.000 0.500 0.252
0.500 0.500 0.000
0.500 0.500 0.500
0.500 0.000 0.748
0.500 0.000 0.252
0.000 0.000 0.000
```

Properties
- ΔH_f (0 K): 0.007 eV/atom

Computed, not measured: a geometry-optimized Na2NiCl structure at the PBE-GGA level of DFT.

```
Na2NiCl
1.0
0.000 3.593 3.593
3.593 0.000 3.593
3.593 3.593 0.000
Cl Na Ni
1 2 1
Direct
0.000 0.000 0.000
0.750 0.750 0.750
0.250 0.250 0.250
0.500 0.500 0.500
```

Properties
- E_form (uncorrected): -85 meV per atom
- Energy relative to the lowest polymorph listed for this composition: 51.7 meV per atom

Computed, not measured: a geometry-optimized Bi2TeRh structure at the PBE-GGA level of DFT.

```
Bi2TeRh
1.0
-2.334 -5.690 -2.291
2.070 -3.038 5.437
-5.979 -3.138 4.484
Rh Bi Te
2 4 2
Direct
0.500 0.500 0.000
0.250 0.750 0.500
0.557 0.125 0.250
0.193 0.625 0.250
0.375 0.443 0.750
0.875 0.807 0.750
0.000 0.000 0.000
0.750 0.250 0.500
```

Properties
- E_form (uncorrected): 121 meV per atom

Computed, not measured: a geometry-optimized PmTi2AlIr4 structure at the PBE-GGA level of DFT.

```
PmTi2AlIr4
1.0
-0.768 -1.493 -3.994
-0.763 -4.218 -0.626
-8.835 -0.561 -0.442
Pm Ir Ti Al
1 4 2 1
Direct
0.000 0.000 0.000
0.598 0.598 0.207
0.133 0.133 0.600
0.402 0.402 0.793
0.867 0.867 0.400
0.762 0.762 0.714
0.238 0.238 0.286
0.500 0.500 0.500
```

Properties
- ΔH_f (0 K): -0.760 eV/atom

Computed, not measured: a geometry-optimized K2LiAlAu6 structure at the PBE-GGA level of DFT.

```
K2LiAlAu6
1.0
-3.792 -2.245 5.746
1.272 -6.639 -1.759
2.764 -4.463 4.967
Au K Al Li
6 2 1 1
Direct
0.744 0.852 0.895
0.745 0.254 0.893
0.256 0.148 0.105
0.147 0.253 0.492
0.255 0.746 0.107
0.853 0.747 0.508
0.708 0.292 0.416
0.292 0.708 0.584
0.500 0.500 0.000
0.000 0.000 0.000
```

Properties
- ΔH_f (0 K): -0.338 eV/atom

Number 1: N(E_F) 1.37 states/eV/atom. Number 2: N(E_F) 1.36 states/eV/atom. Number 3: N(E_F) 0.35 states/eV/atom. Number 4: N(E_F) 1.48 states/eV/atom. Number 5: N(E_F) 3.03 states/eV/atom. Number 6: N(E_F) 0.53 states/eV/atom. Number 7: N(E_F) 0.87 states/eV/atom. Number 8: N(E_F) 0.25 states/eV/atom.